No. 1
Compound: PbCI
Source: Alexandria via LeMat-Bulk
Functional: PBE-GGA
Structure: optimized geometry

```
PbCI
1.0
-6.650 -0.109 0.612
0.089 -4.659 0.141
3.097 0.261 6.663
I Pb C
2 2 2
direct
0.863 0.500 0.724
0.179 0.000 0.329
0.335 0.500 0.690
0.783 0.500 0.120
0.519 0.865 0.942
0.519 0.135 0.942
```

## Properties
E_form (uncorrected) (eV/atom): 0.292
Volume (Å³/atom): 35.9
Total moment (Bohr magnetons per cell): 0.0


No. 2
Compound: PbCI
Source: Alexandria via LeMat-Bulk
Functional: PBE-GGA
Structure: optimized geometry

```
PbCI
1.0
4.199 0.000 0.000
-2.099 4.006 0.000
-0.208 -2.234 11.686
I C Pb
2 2 2
direct
0.390 0.312 0.176
0.610 0.688 0.824
0.429 0.356 0.515
0.571 0.644 0.485
0.863 0.210 0.647
0.137 0.790 0.353
```

## Properties
E_form (uncorrected) (eV/atom): 0.330
D(E_F) (states/eV per cell): 0.00
Volume (Å³/atom): 32.8
Total moment (Bohr magnetons per cell): 0.0


No. 3
Compound: PbCI
Source: Alexandria via LeMat-Bulk
Functional: PBE-GGA
Structure: optimized geometry

```
PbCI
1.0
3.748 0.000 0.000
-1.874 3.246 0.000
0.000 0.000 6.704
Pb I C
1 1 1
direct
0.667 0.333 0.777
0.333 0.667 0.293
0.333 0.667 0.604
```

## Properties
E_form (uncorrected) (eV/atom): 1.153
D(E_F) (states/eV per cell): 2.80
Volume (Å³/atom): 27.2
Total moment (Bohr magnetons per cell): 0.0


No. 4
Compound: PbCI
Source: Alexandria via LeMat-Bulk
Functional: PBE-GGA
Structure: optimized geometry

```
PbCI
1.0
-8.047 -0.976 0.825
0.598 -4.527 0.475
5.622 1.815 10.227
Pb I C
4 4 4
direct
0.439 0.000 0.287
0.950 0.000 0.155
0.950 0.500 0.655
0.439 0.500 0.787
0.908 0.000 0.402
0.557 0.500 0.075
0.908 0.500 0.902
0.557 0.000 0.575
0.199 0.137 0.740
0.199 0.863 0.740
0.199 0.363 0.240
0.199 0.637 0.240
```

## Properties
E_form (uncorrected) (eV/atom): 0.286
D(E_F) (states/eV per cell): 0.00
Volume (Å³/atom): 33.7
Total moment (Bohr magnetons per cell): 0.0